No. 1
This record from Alexandria via LeMat-Bulk describes an optimized crystal structure of Pr5Si2As. The functional is PBE.

The structure in extended XYZ format:
```
16
Lattice="-0.258 -5.906 -5.189 0.657 -5.190 5.874 -7.202 5.333 0.250" Properties=species:S:1:pos:R:3 pbc="T T T"
As -3.501 -0.108 0.296
As -3.302 -5.656 0.639
Si 0.222 -2.678 1.650
Si 0.177 -8.418 -0.965
Si 0.482 -6.852 3.200
Si -0.082 -4.244 -2.515
Pr -5.145 2.567 -0.583
Pr -5.175 -1.167 -2.293
Pr -1.628 -4.596 3.228
Pr -1.658 -8.330 1.518
Pr -4.778 0.861 3.136
Pr -2.026 -6.625 -2.200
Pr 0.000 0.000 0.000
Pr -1.996 -2.890 -0.490
Pr 0.200 -5.548 0.343
Pr -4.808 -2.873 1.425
```

Output
SG: I4/mcm, No. 140
Energy relative to the elements, uncorrected in meV/atom: -724.5


No. 2
This record from Alexandria via LeMat-Bulk describes an optimized crystal structure of Pr4SiAs3. The functional is PBE.

The structure in extended XYZ format:
```
8
Lattice="6.087 0.000 0.000 0.000 6.087 0.000 0.000 0.000 6.087" Properties=species:S:1:pos:R:3 pbc="T T T"
Pr 0.000 0.000 3.043
Pr 3.043 3.043 3.043
Pr 0.000 3.043 0.000
Pr 3.043 0.000 0.000
As 3.043 3.043 0.000
As 0.000 3.043 3.043
As 3.043 0.000 3.043
Si 0.000 0.000 0.000
```

Output
SG: Pm-3m, No. 221
Energy relative to the elements, uncorrected in meV/atom: -1222.2


No. 3
This record from Alexandria via LeMat-Bulk describes an optimized crystal structure of Pr6Si2Te3As. The functional is PBE.

The structure in extended XYZ format:
```
12
Lattice="-4.323 -0.777 -0.038 0.597 -3.721 8.131 0.453 9.810 1.729" Properties=species:S:1:pos:R:3 pbc="T T T"
Pr -0.861 4.564 4.628
Pr -2.655 2.293 1.355
Pr -2.412 0.748 5.193
Pr -3.389 6.052 7.864
Pr 0.116 -0.740 1.957
Pr -0.618 3.019 8.467
Si -2.903 3.414 6.548
Si -0.370 1.898 3.274
Te -3.205 5.296 2.476
Te -1.863 -2.249 4.046
Te -0.068 0.016 7.346
As -2.161 -0.388 -0.019
```

Output
SG: C2/m, No. 12
Energy relative to the elements, uncorrected in meV/atom: -1270.7


No. 4
This record from Alexandria via LeMat-Bulk describes an optimized crystal structure of Pr8SiTe4As3. The functional is PBE.

The structure in extended XYZ format:
```
16
Lattice="8.766 0.000 0.000 0.000 8.952 0.125 -4.383 -4.379 6.201" Properties=species:S:1:pos:R:3 pbc="T T T"
Pr 4.383 0.203 3.271
Pr 0.000 0.220 3.253
Pr 6.597 2.415 0.140
Pr 2.169 2.415 0.140
Pr 2.214 2.158 6.186
Pr 0.000 4.370 3.054
Pr 4.383 4.353 3.073
Pr -2.214 2.158 6.186
As 4.383 4.476 0.063
As -2.192 2.287 3.163
As 2.192 2.287 3.163
Te 0.000 0.000 0.000
Te 4.383 0.000 0.000
Te 2.192 -2.190 3.100
Te -2.192 -2.190 3.100
Si 0.000 4.476 0.063
```

Output
SG: R-3m, No. 166
Energy relative to the elements, uncorrected in meV/atom: -1448.7


No. 5
This record from Alexandria via LeMat-Bulk describes an optimized crystal structure of Pr4SiTe2As. The functional is PBE.

The structure in extended XYZ format:
```
8
Lattice="4.392 0.000 0.000 0.000 7.608 0.134 0.000 -2.659 7.323" Properties=species:S:1:pos:R:3 pbc="T T T"
As 0.000 0.000 0.000
Pr 2.196 1.266 1.661
Pr 0.000 -0.074 5.722
Pr 2.196 3.683 5.795
Pr 0.000 5.022 1.734
Te 2.196 -1.330 3.661
Te 0.000 2.474 3.728
Si 2.196 3.804 0.067
```

Output
SG: P2/m, No. 10
Energy relative to the elements, uncorrected in meV/atom: -1347.2


No. 6
This record from Alexandria via LeMat-Bulk describes an optimized crystal structure of Pr3Sm5As8. The functional is PBE.

The structure in extended XYZ format:
```
16
Lattice="0.967 -7.839 3.140 7.770 -3.377 0.680 3.498 -1.105 7.669" Properties=species:S:1:pos:R:3 pbc="T T T"
As 5.301 -7.528 8.293
As 3.558 -7.008 4.417
As 4.820 -3.637 6.734
As 3.056 -3.095 2.836
As 6.935 -4.793 3.195
As 8.677 -5.313 7.072
As 7.415 -8.684 4.754
As 9.180 -9.226 8.652
Sm 0.484 -3.919 1.570
Sm 4.369 -5.608 1.910
Sm 6.118 -6.160 5.744
Sm 3.885 -1.688 0.340
Sm 0.000 0.000 0.000
Pr 5.634 -2.241 4.174
Pr 1.749 -0.552 3.834
Pr 2.233 -4.472 5.404
```

Output
SG: R-3m, No. 166
DFT formation energy in eV per atom: -1.52


No. 7
This record from Alexandria via LeMat-Bulk describes an optimized crystal structure of PrSm5As6. The functional is PBE.

The structure in extended XYZ format:
```
12
Lattice="7.243 0.177 1.101 1.780 6.143 3.581 0.122 0.066 7.327" Properties=species:S:1:pos:R:3 pbc="T T T"
Sm 4.512 3.160 2.341
Sm 0.634 2.069 3.638
Sm 5.147 5.233 5.970
Sm 1.268 4.140 7.270
Sm 3.999 1.153 6.038
As 6.752 4.724 3.500
As 6.247 2.758 7.192
As 2.271 1.596 1.181
As 3.537 5.715 8.421
As 5.608 0.671 3.588
As 2.898 3.628 4.817
Pr 0.000 0.000 0.000
```

Output
SG: C2/m, No. 12
DFT formation energy in eV per atom: -1.52


No. 8
This record from Alexandria via LeMat-Bulk describes an optimized crystal structure of PrSm2As3. The functional is PBE.

The structure in extended XYZ format:
```
6
Lattice="-1.173 -3.085 2.679 -0.233 -3.883 -4.573 6.819 1.990 1.903" Properties=species:S:1:pos:R:3 pbc="T T T"
As 0.000 0.000 0.000
As 1.371 -3.990 -0.623
As 4.042 -0.987 0.632
Sm 3.965 -2.939 -1.648
Sm 1.447 -2.039 1.658
Pr -0.117 -1.941 -2.286
```

Output
SG: Immm, No. 71
DFT formation energy in eV per atom: -1.52


No. 9
This record from Alexandria via LeMat-Bulk describes an optimized crystal structure of Pr5Sm3As8. The functional is PBE.

The structure in extended XYZ format:
```
16
Lattice="7.416 0.000 4.248 2.491 6.985 4.248 0.028 0.020 8.548" Properties=species:S:1:pos:R:3 pbc="T T T"
As 6.183 1.725 6.401
As 2.498 1.761 8.503
As 6.234 1.761 10.643
As 3.753 5.280 10.643
As 7.438 5.244 8.541
As 2.466 1.739 4.292
As 3.702 5.244 6.401
As 7.469 5.266 12.752
Pr 4.968 3.502 8.522
Pr 3.708 0.000 2.124
Pr 4.954 3.492 4.248
Pr 1.246 3.492 2.124
Pr 0.000 0.000 0.000
Sm 3.722 0.010 6.398
Sm 1.260 3.502 6.398
Sm 0.014 0.010 4.274
```

Output
SG: R-3m, No. 166
DFT formation energy in eV per atom: -1.51


No. 10
This record from Alexandria via LeMat-Bulk describes an optimized crystal structure of Pr2SmAs3. The functional is PBE.

The structure in extended XYZ format:
```
6
Lattice="4.172 0.000 -0.951 -0.216 4.166 -0.951 -0.015 -0.015 9.565" Properties=species:S:1:pos:R:3 pbc="T T T"
Sm 1.704 1.803 7.532
Pr 0.394 0.421 1.783
Pr 3.030 3.197 3.716
As 3.682 3.886 6.581
As 1.056 1.119 4.687
As 2.368 2.500 0.812
```

Output
SG: I4/mmm, No. 139
DFT formation energy in eV per atom: -1.51


No. 11
This record from Alexandria via LeMat-Bulk describes an optimized crystal structure of Pr4SmAs5. The functional is PBE.

The structure in extended XYZ format:
```
10
Lattice="-2.449 3.185 -1.507 -3.159 -2.798 -0.780 -2.712 2.152 15.069" Properties=species:S:1:pos:R:3 pbc="T T T"
As -7.230 2.076 10.030
As -5.009 1.132 4.424
As -2.804 0.194 -1.143
As -1.090 0.464 2.752
As -3.311 1.408 8.358
Pr -3.901 0.660 1.625
Pr -2.202 0.937 5.559
Pr -4.419 1.879 11.157
Pr -6.118 1.603 7.223
Sm 0.000 0.000 0.000
```

Output
SG: I4/mmm, No. 139
DFT formation energy in eV per atom: -1.50


No. 12
This record from Alexandria via LeMat-Bulk describes an optimized crystal structure of Pr4SmAs5. The functional is PBE.

The structure in extended XYZ format:
```
10
Lattice="-3.378 -4.783 1.589 3.288 -4.552 4.868 -4.334 1.180 5.921" Properties=species:S:1:pos:R:3 pbc="T T T"
As -5.218 -5.172 8.111
As -1.692 -2.397 0.796
As 0.788 -2.993 4.271
As -0.988 -4.364 7.952
As -3.443 -3.800 4.430
Pr -1.750 -1.404 3.659
Pr -2.681 -6.761 8.723
Pr -3.510 -2.795 7.315
Pr -0.921 -5.370 5.067
Sm -0.004 -0.005 0.002
```

Output
SG: I4/m, No. 87
DFT formation energy in eV per atom: -1.51